Entry 1:
VASP calculation (GGA-PBE) on a relaxed AcLaHIr crystal.

a = 5.0611 Å, b = 5.0611 Å, c = 5.0611 Å
α = 60.00°, β = 60.00°, γ = 60.00°
Closest atoms and distances in Å follow each position.
Element x y z (fractional)
1 La 0.7500 0.7500 0.7500  4 H 3.10, 4 Ir 3.10
2 H 0.0000 0.0000 0.0000  4 Ac 3.10, 4 La 3.10
3 Ir 0.5000 0.5000 0.5000  4 Ac 3.10, 4 La 3.10
4 Ac 0.2500 0.2500 0.2500  4 Ir 3.10, 4 H 3.10

---

Entry 2:
VASP calculation (GGA-PBE) on a relaxed LiAcH6Ir2 crystal.

a = 6.2320 Å, b = 6.2320 Å, c = 5.7159 Å
α = 101.07°, β = 101.07°, γ = 96.72°
Closest atoms and distances in Å follow each position.
Element x y z (fractional)
1 H 0.3140 0.4966 0.4019  1 Ir 1.67
2 H 0.1971 0.1901 0.5878  2 Ir 1.82-1.90
3 Li 0.6014 0.3986 0.2500  4 H 1.92-2.12
4 Ac 0.1740 0.8260 0.2500  10 H 2.53-2.65
5 H 0.9147 0.4469 0.1585  1 Ir 1.62
6 Ir 0.9284 0.6733 0.6644  2 H 1.62-1.67
7 H 0.6860 0.5034 0.5980  1 Ir 1.67
8 Ir 0.3267 0.0716 0.8356  2 H 1.62-1.67
9 H 0.8099 0.8029 0.9122  2 Ir 1.82-1.90
10 H 0.5531 0.0853 0.3415  1 Ir 1.62
11 Ir 0.6733 0.9284 0.1644  2 H 1.62-1.67
12 H 0.0853 0.5531 0.8415  1 Ir 1.62
13 H 0.4966 0.3140 0.9020  1 Ir 1.67
14 H 0.5034 0.6860 0.0980  1 Ir 1.67
15 H 0.4469 0.9147 0.6585  1 Ir 1.62
16 H 0.1901 0.1971 0.0878  2 Ir 1.82-1.90
17 H 0.8029 0.8099 0.4122  2 Ir 1.82-1.90
18 Ac 0.8260 0.1740 0.7500  10 H 2.53-2.65
19 Ir 0.0716 0.3267 0.3356  2 H 1.62-1.67
20 Li 0.3986 0.6014 0.7500  4 H 1.92-2.12

---

Entry 3:
VASP calculation (GGA-PBE) on a relaxed AcMgH8Ir2 crystal.

a = 4.8726 Å, b = 4.8726 Å, c = 6.5505 Å
α = 68.17°, β = 68.17°, γ = 60.00°
Closest atoms and distances in Å follow each position.
Element x y z (fractional)
1 Ac 0.5000 0.5000 0.5000  6 H 2.51
2 H 0.5984 0.3494 0.1436  1 Ir 1.71
3 H 0.9085 0.5984 0.1436  1 Ir 1.71
4 H 0.2001 0.2001 0.3996  1 Ir 1.72
5 H 0.0915 0.4016 0.8564  1 Ir 1.71
6 H 0.4016 0.6506 0.8564  1 Ir 1.71
7 Mg 0.0000 0.0000 0.0000  6 H 2.03
8 H 0.7999 0.7999 0.6004  1 Ir 1.72
9 H 0.3494 0.9085 0.1436  1 Ir 1.71
10 Ir 0.2968 0.2968 0.1097  4 H 1.71-1.72
11 H 0.6506 0.0915 0.8564  1 Ir 1.71
12 Ir 0.7032 0.7032 0.8903  4 H 1.71-1.72

---

Entry 4:
VASP calculation (GGA-PBE) on a relaxed AcMgH6Ir2 crystal.

a = 4.7153 Å, b = 4.7153 Å, c = 6.1452 Å
α = 67.44°, β = 67.44°, γ = 60.00°
Closest atoms and distances in Å follow each position.
Element x y z (fractional)
1 H 0.0614 0.5711 0.7964  1 Ir 1.66
2 Mg 0.5000 0.5000 0.5000  6 H 2.14
3 H 0.5711 0.0614 0.7964  1 Ir 1.66
4 Ac 0.0000 0.0000 0.0000  12 H 2.61
5 H 0.4289 0.4289 0.2036  1 Ir 1.66
6 H 0.9386 0.4289 0.2036  1 Ir 1.66
7 H 0.4289 0.9386 0.2036  1 Ir 1.66
8 Ir 0.7943 0.7943 0.6170  3 H 1.66
9 H 0.5711 0.5711 0.7964  1 Ir 1.66
10 Ir 0.2057 0.2057 0.3830  3 H 1.66

---

Entry 5:
VASP calculation (GGA-PBE) on a relaxed Ac6H3Ir2N crystal.

a = 7.3314 Å, b = 7.3314 Å, c = 6.9998 Å
α = 98.75°, β = 98.75°, γ = 122.15°
Closest atoms and distances in Å follow each position.
Element x y z (fractional)
1 Ir 0.6671 0.3329 0.0000  6 Ac 2.93-3.00
2 Ir 0.3329 0.6671 0.0000  6 Ac 2.93-3.00
3 Ac 0.7612 0.7612 0.2195  1 N 2.62, 2 Ir 2.93
4 Ac 0.9230 0.6043 0.7498  3 H 2.71-2.95, 1 N 2.87, 2 Ir 2.94-3.00
5 Ac 0.0770 0.3957 0.2502  3 H 2.71-2.95, 1 N 2.87, 2 Ir 2.94-3.00
6 Ac 0.3957 0.0770 0.2502  3 H 2.71-2.95, 1 N 2.87, 2 Ir 2.94-3.00
7 N 0.0000 0.0000 0.0000  6 Ac 2.62-2.87
8 Ac 0.2388 0.2388 0.7805  1 N 2.62, 2 Ir 2.93
9 H 0.2090 0.7910 0.5000  4 Ac 2.71-2.85
10 Ac 0.6043 0.9230 0.7498  3 H 2.71-2.95, 1 N 2.87, 2 Ir 2.94-3.00
11 H 0.5000 0.5000 0.5000  6 Ac 2.95-3.09
12 H 0.7910 0.2090 0.5000  4 Ac 2.71-2.85

---

Entry 6:
VASP calculation (GGA-PBE) on a relaxed AcNdH6Ir2 crystal.

a = 6.3283 Å, b = 6.3283 Å, c = 6.7653 Å
α = 103.12°, β = 103.12°, γ = 102.81°
Closest atoms and distances in Å follow each position.
Element x y z (fractional)
1 Ir 0.6688 0.9476 0.1867  3 H 1.69-1.72
2 H 0.9218 0.4278 0.1156  1 Ir 1.71
3 Nd 0.5917 0.4083 0.2500  8 H 2.40-2.45
4 H 0.8396 0.7738 0.4899  1 Ir 1.69
5 H 0.6980 0.4596 0.6248  1 Ir 1.72
6 H 0.5404 0.3020 0.8752  1 Ir 1.72
7 H 0.7738 0.8396 0.9899  1 Ir 1.69
8 Ir 0.0524 0.3312 0.3133  3 H 1.69-1.72
9 H 0.2262 0.1604 0.0101  1 Ir 1.69
10 Ac 0.1446 0.8554 0.2500  10 H 2.56-2.83
11 H 0.5722 0.0782 0.3844  1 Ir 1.71
12 Ir 0.3312 0.0524 0.8133  3 H 1.69-1.72
13 H 0.4278 0.9218 0.6156  1 Ir 1.71
14 Ir 0.9476 0.6688 0.6867  3 H 1.69-1.72
15 Ac 0.8554 0.1446 0.7500  10 H 2.56-2.83
16 H 0.3020 0.5404 0.3752  1 Ir 1.72
17 H 0.4596 0.6980 0.1248  1 Ir 1.72
18 Nd 0.4083 0.5917 0.7500  8 H 2.40-2.45
19 H 0.1604 0.2262 0.5101  1 Ir 1.69
20 H 0.0782 0.5722 0.8844  1 Ir 1.71

---

| no. | energy (eV per cell) |
| --- | --- |
| 1 | -22.68 |
| 2 | -94.75 |
| 3 | -52.72 |
| 4 | -47.80 |
| 5 | -67.56 |
| 6 | -104.04 |